An optimized crystal structure of Li2ZrFe. Source: OQMD, functional PBE.

Geometry as extended XYZ:
```
16
Lattice="6.229 0.000 0.000 0.000 6.229 0.000 0.000 0.000 6.229" Properties=species:S:1:pos:R:3 pbc="T T T"
Li 0.000 0.000 0.000
Li 0.000 3.114 3.114
Li 1.557 1.557 1.557
Li 1.557 4.672 4.672
Li 3.114 0.000 3.114
Li 3.114 3.114 0.000
Li 4.672 1.557 4.672
Li 4.672 4.672 1.557
Zr 0.000 0.000 3.114
Zr 0.000 3.114 0.000
Zr 3.114 0.000 0.000
Zr 3.114 3.114 3.114
Fe 1.557 1.557 4.672
Fe 1.557 4.672 1.557
Fe 4.672 1.557 1.557
Fe 4.672 4.672 4.672
```

Results
* space-group type: F-43m (216)
* V: 60.42 Å³/f.u.
* DFT total energy: -77.4 eV for the cell shown
* M_tot: 0.46 Bohr magnetons per cell